First-principles (PBE) data for LaLuSb after structural relaxation, as listed in the Alexandria database.

POSCAR file:
```
LaLuSb
1.0
5.118 0.000 0.000
-2.559 4.433 0.000
0.000 0.000 4.145
La Lu Sb
1 1 1
Direct
0.000 0.000 0.000 La
0.667 0.333 0.501 Lu
0.333 0.667 0.497 Sb
```

Computed properties:
- Energy relative to the elements, uncorrected: -49.7 kJ/mol of atoms
- E_tot: -5.0382 eV/atom
- Magnetic moment: 0.022 Bohr magnetons per cell
- Symmetry: P3m1 (156)

=====

First-principles (PBE) data for LaLuSc after structural relaxation, as listed in the Alexandria database.

POSCAR file:
```
LaLuSc
1.0
5.555 0.000 0.000
-2.778 4.811 0.000
0.000 0.000 3.393
La Lu Sc
1 1 1
Direct
0.000 0.000 0.000 La
0.333 0.667 0.501 Lu
0.667 0.333 0.499 Sc
```

Computed properties:
- E_tot: -5.1672 eV/atom
- Magnetic moment: 0.000 Bohr magnetons per cell
- Formation enthalpy at 0 K: 0.09 eV/atom
- Symmetry: P3m1 (156)
- Excess energy over the best structure of this formula in the dataset: 26 meV per atom

=====

First-principles (PBE) data for LaLuSc after structural relaxation, as listed in the Alexandria database.

POSCAR file:
```
LaLuSc
1.0
3.511 0.000 0.000
0.000 3.511 0.000
0.000 0.000 14.691
La Lu Sc
2 2 2
Direct
0.000 0.000 0.000 La
0.500 0.500 0.500 La
0.000 0.000 0.679 Lu
0.500 0.500 0.179 Lu
0.000 0.000 0.333 Sc
0.500 0.500 0.833 Sc
```

Computed properties:
- E_tot: -5.1934 eV/atom
- Magnetic moment: 0.000 Bohr magnetons per cell
- Formation enthalpy at 0 K: 0.07 eV/atom
- Symmetry: I4mm (107)
- Excess energy over the best structure of this formula in the dataset: 0 meV per atom

=====

First-principles (PBE) data for LaLuThSc after structural relaxation, as listed in the Alexandria database.

POSCAR file:
```
LaLuThSc
1.0
7.887 0.000 0.000
0.000 7.887 0.000
0.000 0.000 7.887
La Lu Th Sc
4 4 4 4
Direct
0.000 0.000 0.000 La
0.000 0.500 0.500 La
0.500 0.000 0.500 La
0.500 0.500 0.000 La
0.250 0.250 0.750 Lu
0.250 0.750 0.250 Lu
0.750 0.250 0.250 Lu
0.750 0.750 0.750 Lu
0.000 0.000 0.500 Th
0.000 0.500 0.000 Th
0.500 0.000 0.000 Th
0.500 0.500 0.500 Th
0.250 0.250 0.250 Sc
0.250 0.750 0.750 Sc
0.750 0.250 0.750 Sc
0.750 0.750 0.250 Sc
```

Computed properties:
- E_tot: -5.7249 eV/atom
- Magnetic moment: 0.000 Bohr magnetons per cell
- Formation enthalpy at 0 K: 0.08 eV/atom
- Symmetry: F-43m (216)